# Mo2RuAuCl

Crystalline Mo2RuAuCl at its relaxed geometry (PBE, Alexandria via LeMat-Bulk).

Summary:
total moment	0.000	μB/atom
uncorrected formation energy	1.534	eV/atom
symmetry	P4/mmm

abc: 4.3524 4.3524 4.6977
angles: 90.00 90.00 90.00
Positions (direct):
1 Mo 0.0000 0.5000 0.0000
2 Mo 0.5000 0.0000 0.0000
3 Ru 0.0000 0.0000 0.5000
4 Au 0.5000 0.5000 0.5000
5 Cl 0.5000 0.5000 0.0000

# CeAgSnHg

Crystalline CeAgSnHg at its relaxed geometry (PBE, Alexandria via LeMat-Bulk).

Summary:
total moment	0.218	μB/atom
DFT formation energy	-1.250	eV/f.u.
symmetry	F-43m

abc: 5.1770 5.1770 5.1770
angles: 60.00 60.00 60.00
Positions (direct):
1 Ce 0.0000 0.0000 0.0000
2 Ag 0.5000 0.5000 0.5000
3 Sn 0.2500 0.2500 0.2500
4 Hg 0.7500 0.7500 0.7500

# Li4HoEr3S8

Crystalline Li4HoEr3S8 at its relaxed geometry (PBE, Alexandria via LeMat-Bulk).

Summary:
total moment	0.000	μB/atom
uncorrected formation energy	-1.858	eV/atom
symmetry	R-3m

abc: 7.6238 7.6238 7.6238
angles: 61.21 61.21 61.21
Positions (direct):
1 Li 0.0000 0.0000 0.0000
2 Li 0.0000 0.5000 0.5000
3 Li 0.5000 0.0000 0.5000
4 Li 0.5000 0.5000 0.0000
5 Ho 0.5000 0.5000 0.5000
6 Er 0.0000 0.0000 0.5000
7 Er 0.0000 0.5000 0.0000
8 Er 0.5000 0.0000 0.0000
9 S 0.2489 0.7501 0.7501
10 S 0.2495 0.2495 0.2495
11 S 0.2499 0.2499 0.7511
12 S 0.2499 0.7511 0.2499
13 S 0.7501 0.2489 0.7501
14 S 0.7501 0.7501 0.2489
15 S 0.7505 0.7505 0.7505
16 S 0.7511 0.2499 0.2499

# Y2FePt

Crystalline Y2FePt at its relaxed geometry (PBE, Alexandria via LeMat-Bulk).

Summary:
total moment	0.399	μB/atom
DFT formation energy	-0.852	eV/f.u.
symmetry	C2/m

abc: 3.9349 3.9349 7.5182
angles: 103.06 103.06 55.73
Positions (direct):
1 Y 0.2489 0.2489 0.2477
2 Y 0.7511 0.7511 0.7523
3 Fe 0.0000 0.0000 0.5000
4 Pt 0.5000 0.5000 0.0000

| no. | total energy (eV per cell) | density of states at the Fermi level (states/eV per atom) |
| --- | --- | --- |
| 1 | -28.39 | 1.056 |
| 2 | -14.34 | 1.621 |
| 3 | -88.67 | 0.000 |
| 4 | -28.28 | 1.263 |